(1)
DFT (PBE) results for a geometry-optimized PrCdSb2 structure.

Cell: 4.311 5.027 5.027 Å, 90.00 90.00 90.00°
Fractional coordinates of all 4 atoms:
Pr 0.500 0.500 0.500
Sb 0.000 0.000 0.500
Sb 0.000 0.500 0.000
Cd 0.500 0.000 0.000

Computed properties:
Uncorrected formation energy   -0.542 eV per atom
Total magnetic moment   0.00 Bohr magnetons per cell
ρ   7.6 g/cm3
Distance to the lowest polymorph of the same formula   54 meV per atom
VASP energy   -16.11 eV/cell
SG   P4/mmm (123)

***

(2)
DFT (PBE) results for a geometry-optimized PrCd2Sb structure.

Cell: 3.390 3.390 11.827 Å, 81.76 81.76 60.00°
Fractional coordinates of all 4 atoms:
Pr 0.000 0.000 0.000
Sb 0.500 0.500 0.500
Cd 0.091 0.091 0.726
Cd 0.909 0.909 0.274

Computed properties:
Uncorrected formation energy   0.180 eV per atom
Total magnetic moment   0.00 Bohr magnetons per cell
ρ   7.0 g/cm3
VASP energy   -10.01 eV/cell
SG   R-3m (166)

***

(3)
DFT (PBE) results for a geometry-optimized Pr6Cd5Sb structure.

Cell: 5.492 7.701 8.752 Å, 90.00 71.72 90.00°
Fractional coordinates of all 12 atoms:
Pr 0.836 0.747 0.329
Pr 0.836 0.253 0.329
Pr 0.500 0.243 0.000
Pr 0.500 0.757 0.000
Pr 0.164 0.747 0.671
Pr 0.164 0.253 0.671
Sb 0.000 0.000 0.000
Cd 0.666 0.500 0.669
Cd 0.322 0.000 0.356
Cd 0.000 0.500 0.000
Cd 0.678 0.000 0.644
Cd 0.334 0.500 0.331

Computed properties:
Uncorrected formation energy   -0.439 eV per atom
Total magnetic moment   0.00 Bohr magnetons per cell
ρ   7.2 g/cm3
VASP energy   -42.64 eV/cell
SG   Cmmm (65)

***

(4)
DFT (PBE) results for a geometry-optimized PrCd2Sb2 structure.

Cell: 4.418 4.460 13.713 Å, 90.00 99.27 90.00°
Fractional coordinates of all 10 atoms:
Pr 0.343 0.250 0.685
Pr 0.657 0.750 0.315
Cd 0.043 0.750 0.086
Cd 0.461 0.750 0.922
Cd 0.957 0.250 0.914
Cd 0.539 0.250 0.078
Sb 0.750 0.250 0.500
Sb 0.250 0.750 0.500
Sb 0.876 0.750 0.753
Sb 0.124 0.250 0.247

Computed properties:
Uncorrected formation energy   -0.481 eV per atom
Total magnetic moment   0.00 Bohr magnetons per cell
ρ   7.6 g/cm3
VASP energy   -34.52 eV/cell
SG   Cmcm (63)

***

(5)
DFT (PBE) results for a geometry-optimized PrCdSb2 structure.

Cell: 4.574 4.574 7.329 Å, 71.82 71.82 60.00°
Fractional coordinates of all 4 atoms:
Pr 0.500 0.500 0.500
Sb 0.256 0.256 0.233
Sb 0.744 0.744 0.767
Cd 0.000 0.000 0.000

Computed properties:
Uncorrected formation energy   -0.372 eV per atom
Total magnetic moment   0.00 Bohr magnetons per cell
ρ   6.7 g/cm3
Distance to the lowest polymorph of the same formula   224 meV per atom
VASP energy   -15.43 eV/cell
SG   R-3m (166)

***

(6)
DFT (PBE) results for a geometry-optimized PrSmCdSb structure.

Cell: 5.444 5.444 5.444 Å, 60.00 60.00 60.00°
Fractional coordinates of all 4 atoms:
Pr 0.500 0.500 0.500
Sb 0.250 0.250 0.250
Sm 0.000 0.000 0.000
Cd 0.750 0.750 0.750

Computed properties:
Uncorrected formation energy   -0.580 eV per atom
Total magnetic moment   0.00 Bohr magnetons per cell
ρ   7.6 g/cm3
VASP energy   -16.86 eV/cell
SG   F-43m (216)

***

Which value of ρ does entry 4 give?
7.6 g/cm3